(1)
# Sc3Pb, optimized geometry, DFT GGA-PBEsol
data_Sc3Pb
_cell_length_a 4.310
_cell_length_b 4.310
_cell_length_c 9.768
_cell_angle_alpha 90.00
_cell_angle_beta 90.00
_cell_angle_gamma 90.00
_space_group_name_H-M_alt 'P 1'
_space_group_IT_number 1
loop_
_space_group_symop_operation_xyz
'x,y,z'
loop_
_atom_site_label
_atom_site_type_symbol
_atom_site_fract_x
_atom_site_fract_y
_atom_site_fract_z
Sc1 Sc 0.000 0.000 0.000
Sc2 Sc 0.000 0.500 0.250
Sc3 Sc 0.000 0.500 0.750
Sc4 Sc 0.500 0.000 0.250
Sc5 Sc 0.500 0.000 0.750
Sc6 Sc 0.500 0.500 0.500
Pb1 Pb 0.000 0.000 0.500
Pb2 Pb 0.500 0.500 0.000
# D(E_F): 9.558 states/eV per cell
# Calculated volume: 181.4 Å³ per cell
# Energy of formation from the pure elements: -1.3 eV/f.u.

(2)
# ScTlO3, optimized geometry, DFT GGA-PBEsol
data_ScTlO3
_cell_length_a 5.608
_cell_length_b 8.046
_cell_length_c 5.473
_cell_angle_alpha 90.00
_cell_angle_beta 90.00
_cell_angle_gamma 90.00
_space_group_name_H-M_alt 'P 1'
_space_group_IT_number 1
loop_
_space_group_symop_operation_xyz
'x,y,z'
loop_
_atom_site_label
_atom_site_type_symbol
_atom_site_fract_x
_atom_site_fract_y
_atom_site_fract_z
Sc1 Sc 0.000 0.000 0.000
Sc2 Sc 0.000 0.500 0.000
Sc3 Sc 0.500 0.000 0.500
Sc4 Sc 0.500 0.500 0.500
Tl1 Tl 0.052 0.250 0.484
Tl2 Tl 0.448 0.750 0.984
Tl3 Tl 0.552 0.250 0.016
Tl4 Tl 0.948 0.750 0.516
O1 O 0.069 0.750 0.119
O2 O 0.188 0.566 0.684
O3 O 0.188 0.934 0.684
O4 O 0.312 0.066 0.184
O5 O 0.312 0.434 0.184
O6 O 0.431 0.250 0.619
O7 O 0.569 0.750 0.381
O8 O 0.688 0.566 0.816
O9 O 0.688 0.934 0.816
O10 O 0.812 0.066 0.316
O11 O 0.812 0.434 0.316
O12 O 0.931 0.250 0.881
# E: -7.0805 eV/atom
# Calculated volume: 246.9 Å³ per cell

Question: Number 2 is which compound?
Answer: ScTlO3

Question: Look up the calculated volume of the first one.
Answer: 181.4 Å³ per cell